DFT (PBE-GGA) results for crystalline Tl2InFe at its relaxed geometry.

The excess energy over the best structure of this formula in the dataset is 135 meV/atom. The value obtained for the spin magnetization is 8.1 μB/cell. The formation energy from the elements is 443 meV per atom. Its raw total energy is -42.5 eV per cell. The theoretical density is 10.17 Mg/m³.

The structure in CIF format:
```
data_Tl2InFe
_chemical_formula_sum 'Tl6 In3 Fe3'
_cell_length_a 3.3619
_cell_length_b 3.3619
_cell_length_c 29.0033
_cell_angle_alpha 90.00
_cell_angle_beta 90.00
_cell_angle_gamma 120.00
_symmetry_space_group_name_H-M 'R -3 m'
_symmetry_Int_Tables_number 166
_symmetry_space_group_name_Hall '-R 3 2"'
loop_
_atom_site_label
_atom_site_type_symbol
_atom_site_fract_x
_atom_site_fract_y
_atom_site_fract_z
_atom_site_occupancy
Tl1 Tl 0.0000 0.0000 0.2392 1
In1 In 0.0000 0.0000 0.0000 1
Fe1 Fe 0.0000 0.0000 0.5000 1
```